(1)
A relaxed Tb3Pm6Dy2Y crystal. Source: Alexandria, functional PBE.

Lattice parameters (Å, degrees): 6.2555 10.8324 11.8826 90.00 100.07 90.00
Last column: nearest neighbours and their distance in Å.
Space group C2/m (No. 12)
Unique sites:
Tb (0.0000, 0.0000, 0.0000) x2  6 Pm 3.59-3.60, 6 Tb 3.61
Tb (0.0000, 0.3333, 0.0000) x4  6 Pm 3.59-3.60, 6 Tb 3.61
Pm (0.2492, 0.1671, 0.2502) x8  2 Dy 3.59, 3 Tb 3.59-3.60, 1 Y 3.59, 6 Pm 3.61-3.62
Pm (0.2495, 0.0000, 0.7499) x4  3 Tb 3.59, 2 Dy 3.59, 1 Y 3.59, 6 Pm 3.61-3.62
Dy (0.0000, 0.1667, 0.5000) x4  6 Pm 3.59, 3 Dy 3.61, 3 Y 3.61
Y (0.0000, 0.5000, 0.5000) x2  6 Pm 3.59, 6 Dy 3.61

Properties
E_form   0.01 eV/atom

=====

(2)
A relaxed Tb4Pm2Dy2Y crystal. Source: Alexandria, functional PBE.

Lattice parameters (Å, degrees): 18.7410 3.6108 9.5948 90.00 115.74 90.00
Last column: nearest neighbours and their distance in Å.
Space group C2/m (No. 12)
Unique sites:
Tb (0.0191, 0.0000, 0.3356) x4  4 Dy 3.52-3.61, 5 Tb 3.53-3.61, 1 Pm 3.56, 2 Y 3.57
Tb (0.1856, 0.5000, 0.3350) x4  3 Dy 3.53-3.61, 6 Tb 3.53-3.61, 1 Y 3.57, 2 Pm 3.57
Pm (0.1662, 0.0000, 0.9988) x4  3 Tb 3.56-3.57, 3 Dy 3.56-3.58, 2 Y 3.60, 4 Pm 3.61
Dy (0.1475, 0.5000, 0.6644) x4  7 Tb 3.52-3.61, 3 Pm 3.56-3.58, 2 Dy 3.61
Y (0.0000, 0.5000, 0.0000) x2  6 Tb 3.57, 4 Pm 3.60, 2 Y 3.61

Properties
E_form   0.00 eV/atom